Compound: Ac12In5Si2
Source: Alexandria
Functional: PBE
Structure: relaxed

a b c (Å): 8.7766 10.2289 9.7563
angles (deg): 107.15 90.00 115.40
Element x y z (fractional)
Ac 0.0903 0.6557 0.8175
Ac 0.4137 0.2529 0.5721
Ac 0.9097 0.3443 0.1825
Ac 0.5863 0.7471 0.4279
Ac 0.4347 0.3443 0.1825
Ac 0.9224 0.8449 0.1470
Ac 0.5653 0.6557 0.8175
Ac 0.5204 0.0408 0.8045
Ac 0.4796 0.9592 0.1955
Ac 0.1608 0.7471 0.4279
Ac 0.0776 0.1551 0.8530
Ac 0.8392 0.2529 0.5721
In 0.7652 0.5304 0.4897
In 0.2867 0.5734 0.0835
In 0.7133 0.4266 0.9165
In 0.2348 0.4696 0.5103
In 0.0000 0.0000 0.5000
Si 0.7655 0.0000 0.0000
Si 0.2345 0.0000 0.0000

- ρ (Mg/m³) = 7.4
- formation energy without anion corrections (eV/atom) = -0.212
- final energy (eV/atom) = -4.098
- total magnetic moment (μB per formula unit) = 0.0
- SG = C2/m